Here is crystalline InPd2C at its relaxed geometry from Alexandria. Energies are from GGA-PBE.

Unit cell a=3.201 b=4.137 c=5.195 alpha=111.94 beta=108.02 gamma=89.96
Fractional coordinates of all 4 atoms:
In (0.454, 0.108, 0.902)
Pd (0.814, 0.474, 0.622)
Pd (0.137, 0.804, 0.268)
C (0.158, 0.325, 0.311)

- energy of formation (eV/atom) = 0.397
- space-group type = Cm
- polymorph energy (0 for the lowest one) (meV/atom) = 53



Here is crystalline InPd2C at its relaxed geometry from Alexandria. Energies are from GGA-PBE.

Unit cell a=4.828 b=5.512 c=6.643 alpha=114.27 beta=110.80 gamma=90.07
Fractional coordinates of all 8 atoms:
Pd (0.070, 0.216, 0.386)
C (0.132, 0.597, 0.640)
C (0.867, 0.841, 0.123)
Pd (0.001, 0.859, 0.881)
In (0.614, 0.079, 0.610)
Pd (0.929, 0.711, 0.377)
In (0.393, 0.346, 0.154)
Pd (0.501, 0.576, 0.882)

- energy of formation (eV/atom) = 0.344
- space-group type = P1
- polymorph energy (0 for the lowest one) (meV/atom) = 0



Here is crystalline InPd2C at its relaxed geometry from Alexandria. Energies are from GGA-PBE.

Unit cell a=5.540 b=6.047 c=4.048 alpha=90.00 beta=90.00 gamma=90.00
Fractional coordinates of all 8 atoms:
Pd (0.250, 0.250, 0.500)
Pd (0.250, 0.750, 0.500)
C (0.000, 0.500, 0.500)
In (0.000, 0.000, 0.000)
In (0.500, 0.500, 0.000)
Pd (0.750, 0.750, 0.500)
C (0.500, 0.000, 0.500)
Pd (0.750, 0.250, 0.500)

- energy of formation (eV/atom) = 0.371
- space-group type = Cmmm
- polymorph energy (0 for the lowest one) (meV/atom) = 27



Here is crystalline InPdC2 at its relaxed geometry from Alexandria. Energies are from GGA-PBE.

Unit cell a=4.976 b=4.976 c=6.019 alpha=65.58 beta=65.58 gamma=90.00
Fractional coordinates of all 8 atoms:
C (0.375, 0.416, 0.750)
In (0.750, 0.250, 0.500)
Pd (0.500, 0.500, 0.000)
C (0.875, 0.834, 0.750)
C (0.584, 0.125, 0.250)
In (0.000, 0.000, 0.000)
C (0.166, 0.625, 0.250)
Pd (0.250, 0.750, 0.500)

- energy of formation (eV/atom) = 1.389
- space-group type = I-42d



Question: energy of formation of number 3 (InPd2C)?
Answer: 0.371 eV/atom



Question: energy of formation of number 2 (InPd2C)?
Answer: 0.344 eV/atom